# BaGdCrFeO6

BaGdCrFeO6 after structural relaxation (PBE with a Hubbard U, Alexandria).

abc: 5.825 5.825 5.825
angles: 60.00 60.00 60.00
Fractional coordinates of all 10 atoms:
Ba  0.000  0.000  0.000
Gd  0.750  0.750  0.750
Cr  0.250  0.250  0.250
Fe  0.500  0.500  0.500
O  0.022  0.022  0.478
O  0.022  0.478  0.022
O  0.022  0.478  0.478
O  0.478  0.022  0.022
O  0.478  0.022  0.478
O  0.478  0.478  0.022

Results
total DFT energy (no corrections)	-73.01	eV per formula unit